Computed, not measured: a crystal of SrSeO4 relaxed with PBEsol at the meta-GGA SCAN level of DFT.

Cell lengths 6.854, 7.347, 8.637 Å; angles 90.00, 126.89, 90.00 degrees
Space group P2_1/c (No. 14)
Asymmetric unit:
Sr  0.181  0.156  0.280 [4 per cell]
Se  0.307  0.664  0.193 [4 per cell]
O  0.112  0.661  0.613 [4 per cell]
O  0.187  0.502  0.247 [4 per cell]
O  0.331  0.609  0.018 [4 per cell]
O  0.409  0.215  0.122 [4 per cell]

Calculated values
Electronic total energy in eV per atom: -13.101
Density of states at the Fermi level in states/eV/cell: 0.00
Uncorrected formation energy in eV/atom: -1.89